LiNdRhAu | PBE | optimized geometry

Its crystal system is cubic. Its density of states at the Fermi level is 7.29 states/eV/cell. The formation energy is -0.462 eV/atom. The value obtained for the theoretical density is 9.30 g cm⁻³.

The space group is F-43m (No. 216) and the conventional cell measures 6.855, 6.855 and 6.855 Å, with angles of 90.00, 90.00 and 90.00 degrees. The distinct sites, in fractional coordinates, are Li at (0.000, 0.000, 0.000), Nd at (0.000, 0.000, 0.500), Rh at (0.250, 0.250, 0.750) and Au at (0.250, 0.250, 0.250).



Li2NdSb2Au2 | PBE | optimized geometry

Its crystal system is trigonal. Its density of states at the Fermi level is 6.48 states/eV/cell. The value obtained for the formation energy without anion corrections is -4.842 eV per formula unit. The value obtained for the theoretical density is 8.76 g cm⁻³.

The space group is R-3m (No. 166, hexagonal axes) and the conventional cell measures 4.5618, 4.5618 and 25.1027 Å, with angles of 90.00, 90.00 and 120.00 degrees. The distinct sites, in fractional coordinates, are Li at (0.0000, 0.0000, 0.1439), Nd at (0.0000, 0.0000, 0.0000), Sb at (0.0000, 0.0000, 0.2597) and Au at (0.0000, 0.0000, 0.4424).



LiNdSbAu | PBE | optimized geometry

Its crystal system is cubic. Its density of states at the Fermi level is 5.89 states/eV/cell. The value obtained for the formation energy without anion corrections is -2.946 eV per formula unit. The value obtained for the theoretical density is 8.04 g cm⁻³.

The space group is F-43m (No. 216) and the conventional cell measures 7.295, 7.295 and 7.295 Å, with angles of 90.00, 90.00 and 90.00 degrees. The distinct sites, in fractional coordinates, are Li at (0.000, 0.000, 0.000), Nd at (0.000, 0.000, 0.500), Sb at (0.250, 0.250, 0.250) and Au at (0.250, 0.250, 0.750).



LiNdScAu | PBE | optimized geometry

Its crystal system is cubic. Its density of states at the Fermi level is 16.01 states/eV/cell. The formation energy is -0.337 eV/atom. The value obtained for the theoretical density is 7.14 g cm⁻³.

The space group is F-43m (No. 216) and the conventional cell measures 7.152, 7.152 and 7.152 Å, with angles of 90.00, 90.00 and 90.00 degrees. The distinct sites, in fractional coordinates, are Li at (0.000, 0.000, 0.000), Nd at (0.250, 0.250, 0.250), Sc at (0.250, 0.250, 0.750) and Au at (0.000, 0.000, 0.500).



Li2NdScAu4 | PBE | optimized geometry

Its crystal system is trigonal. Its density of states at the Fermi level is 10.83 states/eV/cell. The formation energy is -0.683 eV/atom. The value obtained for the theoretical density is 10.33 g cm⁻³.

The space group is R-3m (No. 166, hexagonal axes) and the conventional cell measures 4.6147, 4.6147 and 25.9208 Å, with angles of 90.00, 90.00 and 120.00 degrees. The distinct sites, in fractional coordinates, are Li at (0.0000, 0.0000, 0.2412), Nd at (0.0000, 0.0000, 0.0000), Sc at (0.0000, 0.0000, 0.5000), Au at (0.0000, 0.0000, 0.1235) and Au at (0.0000, 0.0000, 0.3933).



LiNdSi2Au2 | PBE | optimized geometry

Its crystal system is trigonal. Its density of states at the Fermi level is 4.00 states/eV/cell. The value obtained for the formation energy without anion corrections is -3.680 eV per formula unit. The value obtained for the theoretical density is 8.91 g cm⁻³.

The space group is P-3m1 (No. 164) and the conventional cell measures 4.3234, 4.3234 and 6.9205 Å, with angles of 90.00, 90.00 and 120.00 degrees. The distinct sites, in fractional coordinates, are Li at (0.0000, 0.0000, 0.0000), Nd at (0.0000, 0.0000, 0.5000), Si at (0.3333, 0.6667, 0.2156) and Au at (0.3333, 0.6667, 0.8153).



> What is the theoretical density in the second record?

8.76 g cm⁻³